1.
Compound: Sr2CdW
Source: Alexandria
Functional: meta-GGA SCAN
Structure: single point on PBEsol structure

Structure (extended XYZ):
```
4
Lattice="3.346 0.000 0.000 0.000 3.894 0.000 0.000 0.000 8.963" Properties=species:S:1:pos:R:3 pbc="T T T"
Sr 0.000 0.000 0.000
Sr 1.673 1.947 3.528
Cd 1.673 1.947 6.809
W 0.000 0.000 5.680
```

The total energy is -1.298 hartree per atom. The value obtained for the formation energy from the elements is 0.837 eV per atom. The calculation puts the density at 6.7 g/cm³.

---

2.
Compound: SrCdW3
Source: Alexandria
Functional: meta-GGA SCAN
Structure: single point on PBEsol structure

Structure (extended XYZ):
```
5
Lattice="4.954 0.000 0.000 0.000 4.954 0.000 0.000 0.000 4.954" Properties=species:S:1:pos:R:3 pbc="T T T"
Sr 0.000 0.000 0.000
Cd 2.477 2.477 2.477
W 0.000 2.477 2.477
W 2.477 0.000 2.477
W 2.477 2.477 0.000
```

The total energy is -1.817 hartree per atom. The value obtained for the formation energy from the elements is 2.915 eV per atom. The calculation puts the density at 10.3 g/cm³.